A plane-wave DFT calculation with PBE was carried out for a relaxed Mg6Tl4Pb crystal.

Calculated values
DFT total energy: -1.91 eV/atom
Calculated formation energy: 0.155 eV/atom

Structure (extended XYZ):
```
11
Lattice="-3.906 3.906 5.186 3.906 -3.906 5.186 3.906 3.906 -5.186" Properties=species:S:1:pos:R:3 pbc="T T T"
Mg 3.906 0.000 0.000
Mg 2.775 2.775 -2.973
Mg 1.130 1.130 2.213
Mg 0.000 3.906 0.000
Mg 1.130 -1.130 8.158
Mg -1.130 1.130 8.158
Tl 1.529 1.529 -0.768
Tl 2.377 -2.377 5.953
Tl 2.377 2.377 4.418
Tl -2.377 2.377 5.953
Pb 0.000 0.000 5.186
```